Record 1
The following is a PBE calculation of an optimized crystal structure of Sr2Li2LaPb2, from the Alexandria database.

Output
Energy relative to the elements = -0.43 eV per atom
Electronic total energy = -22.568 eV for the cell shown
DOS at the Fermi energy = 2.49 states/eV/cell

Geometry as CIF:
```
data_Sr2Li2LaPb2
_chemical_formula_sum 'Sr2 Li2 La1 Pb2'
_cell_length_a 4.940
_cell_length_b 4.940
_cell_length_c 11.570
_cell_angle_alpha 77.67
_cell_angle_beta 77.67
_cell_angle_gamma 60.00
_space_group_name_H-M_alt 'P 1'
_space_group_IT_number 1
_space_group_name_Hall 'P 1'
loop_
_atom_site_label
_atom_site_type_symbol
_atom_site_fract_x
_atom_site_fract_y
_atom_site_fract_z
Sr1 Sr 0.118 0.118 0.647
La1 La 0.000 0.000 0.000
Li1 Li 0.615 0.615 0.156
Pb1 Pb 0.723 0.723 0.830
Pb2 Pb 0.277 0.277 0.170
Sr2 Sr 0.882 0.882 0.353
Li2 Li 0.385 0.385 0.844
```

---

Record 2
The following is a PBE calculation of an optimized crystal structure of SrLi2LaPb2, from the Alexandria database.

Output
Energy relative to the elements = -0.52 eV per atom
Electronic total energy = -20.957 eV for the cell shown
DOS at the Fermi energy = 2.86 states/eV/cell

Geometry as CIF:
```
data_SrLi2LaPb2
_chemical_formula_sum 'Sr1 Li2 La1 Pb2'
_cell_length_a 5.002
_cell_length_b 5.002
_cell_length_c 8.035
_cell_angle_alpha 90.00
_cell_angle_beta 90.00
_cell_angle_gamma 120.00
_space_group_name_H-M_alt 'P 1'
_space_group_IT_number 1
_space_group_name_Hall 'P 1'
loop_
_atom_site_label
_atom_site_type_symbol
_atom_site_fract_x
_atom_site_fract_y
_atom_site_fract_z
Sr1 Sr 0.000 0.000 0.000
Pb1 Pb 0.667 0.333 0.721
La1 La 0.000 0.000 0.500
Li1 Li 0.667 0.333 0.282
Li2 Li 0.333 0.667 0.718
Pb2 Pb 0.333 0.667 0.279
```

---

Record 3
The following is a PBE calculation of an optimized crystal structure of Li2LaTb2Pb2, from the Alexandria database.

Output
Energy relative to the elements = -0.36 eV per atom
Electronic total energy = -27.922 eV for the cell shown
DOS at the Fermi energy = 4.50 states/eV/cell

Geometry as CIF:
```
data_Li2LaTb2Pb2
_chemical_formula_sum 'Li2 La1 Tb2 Pb2'
_cell_length_a 4.902
_cell_length_b 4.902
_cell_length_c 9.603
_cell_angle_alpha 75.21
_cell_angle_beta 75.21
_cell_angle_gamma 60.00
_space_group_name_H-M_alt 'P 1'
_space_group_IT_number 1
_space_group_name_Hall 'P 1'
loop_
_atom_site_label
_atom_site_type_symbol
_atom_site_fract_x
_atom_site_fract_y
_atom_site_fract_z
Pb1 Pb 0.740 0.740 0.780
La1 La 0.000 0.000 0.000
Tb1 Tb 0.869 0.869 0.393
Li1 Li 0.585 0.585 0.246
Tb2 Tb 0.131 0.131 0.607
Li2 Li 0.415 0.415 0.754
Pb2 Pb 0.260 0.260 0.220
```